DFT (PBE with a Hubbard U) results for a geometry-optimized Na2Cd2MoO6 structure.

Results
- Space-group type: C2/m
- Uncorrected energy: -56.57 eV/cell
- Crystal system: monoclinic

a b c (Å): 5.637 5.637 5.901
angles (deg): 100.41 100.41 117.16
Fractional coordinates of all 11 atoms:
Na 0.172 0.828 0.000
Na 0.828 0.172 0.000
Cd 0.339 0.661 0.500
Cd 0.661 0.339 0.500
Mo 0.000 0.000 0.500
O 0.058 0.351 0.706
O 0.208 0.208 0.299
O 0.351 0.058 0.706
O 0.649 0.942 0.294
O 0.792 0.792 0.701
O 0.942 0.649 0.294